VASP calculation (PBE) on crystalline ZrHIr3 at its relaxed geometry.

Volume, Å³/atom: 13.3
Relative energy among the computed polymorphs, kJ/mol of atoms: 11.9
N(E_F), states/eV/f.u.: 2.72
Mass density, Mg/m³: 16.7

a b c (Å): 17.871 4.600 7.628
angles (deg): 90.00 154.92 90.00
Sites, in units of the cell vectors:
H (0.141, 0.423, 0.673)
H (0.859, 0.577, 0.327)
H (0.359, 0.923, 0.827)
H (0.641, 0.077, 0.173)
Ir (0.339, 0.250, 0.007)
Ir (0.661, 0.750, 0.993)
Ir (0.161, 0.750, 0.493)
Ir (0.839, 0.250, 0.507)
Ir (0.463, 0.254, 0.639)
Ir (0.537, 0.746, 0.361)
Ir (0.037, 0.754, 0.861)
Ir (0.963, 0.246, 0.139)
Ir (0.421, 0.744, 0.753)
Ir (0.579, 0.256, 0.247)
Ir (0.079, 0.244, 0.747)
Ir (0.921, 0.756, 0.253)
Zr (0.297, 0.757, 0.140)
Zr (0.703, 0.243, 0.860)
Zr (0.203, 0.257, 0.360)
Zr (0.797, 0.743, 0.640)